! BaCo2HgF8 PBE+U optimized geometry; values from VASP
! calculated volume = 15.87 Å³ per atom
! total DFT energy (no corrections) = -4.584 eV per atom
! space group = P-1, No. 2
&SYSTEM
  ibrav = 0, nat = 12, ntyp = 4
/
ATOMIC_SPECIES
Ba 137.33 Ba.upf
Co 58.93 Co.upf
Hg 200.59 Hg.upf
F 19.00 F.upf
ATOMIC_POSITIONS angstrom
Ba 0.000 0.000 0.000
Co 2.697 2.816 1.772
Co 2.970 3.033 5.080
Hg 0.251 0.210 3.426
F 1.670 4.554 4.963
F 1.548 4.458 1.828
F 1.794 2.068 3.518
F 1.613 1.978 0.122
F 4.053 3.870 6.730
F 3.872 3.781 3.335
F 4.118 1.391 5.024
F 3.997 1.295 1.889
CELL_PARAMETERS angstrom
5.120 0.000 0.000
0.044 5.428 0.000
0.502 0.420 6.852